# 1
Compound: YLuFeGe
Source: OQMD via LeMat-Bulk
Functional: PBE-GGA
Structure: optimized geometry

## Properties
- Calculated density: 8.86 Mg/m³
- Total moment: 0.00 Bohr magnetons per cell
- Energy relative to the lowest polymorph listed for this composition: 0.0000 eV per atom
- Crystal system: cubic

a b c (Å): 4.703 4.703 4.703
angles (deg): 60.00 60.00 60.00
Atoms (fractional coordinates):
Ge 0.000 0.000 0.000
Fe 0.750 0.750 0.750
Lu 0.250 0.250 0.250
Y 0.500 0.500 0.500

---

# 2
Compound: Ta5Nb2Co6
Source: OQMD via LeMat-Bulk
Functional: PBE-GGA
Structure: optimized geometry

## Properties
- DFT formation energy: -0.2450 eV/atom
- Calculated density: 12.92 Mg/m³
- Total moment: 0.00 Bohr magnetons per cell
- Energy relative to the lowest polymorph listed for this composition: 0.0000 eV per atom
- Crystal system: trigonal

a b c (Å): 9.194 9.194 9.194
angles (deg): 31.24 31.24 31.24
Atoms (fractional coordinates):
Co 0.091 0.091 0.580
Co 0.909 0.909 0.420
Ta 0.833 0.833 0.833
Co 0.420 0.909 0.909
Ta 0.450 0.450 0.450
Ta 0.550 0.550 0.550
Ta 0.167 0.167 0.167
Co 0.091 0.580 0.091
Nb 0.654 0.654 0.654
Ta 0.000 0.000 0.000
Nb 0.346 0.346 0.346
Co 0.909 0.420 0.909
Co 0.580 0.091 0.091

---

# 3
Compound: GdEr2In3AgPt2
Source: OQMD via LeMat-Bulk
Functional: PBE-GGA
Structure: optimized geometry

## Properties
- Total DFT energy (no corrections): -4.926 eV/atom
- Calculated density: 11.14 Mg/m³
- Total moment: 0.00 Bohr magnetons per cell
- Crystal system: orthorhombic

a b c (Å): 3.760 7.821 7.821
angles (deg): 120.17 90.00 90.00
Atoms (fractional coordinates):
Ag 0.000 0.001 0.001
Er 0.000 0.410 0.000
Er 0.000 0.000 0.410
In 0.500 0.731 0.001
Pt 0.500 0.668 0.331
In 0.500 0.268 0.268
Gd 0.000 0.591 0.591
Pt 0.500 0.331 0.668
In 0.500 0.001 0.731

---

# 4
Compound: ZnBiTe
Source: OQMD via LeMat-Bulk
Functional: PBE-GGA
Structure: optimized geometry

## Properties
- Total DFT energy (no corrections): -2.799 eV/atom
- Calculated density: 7.75 Mg/m³
- Crystal system: orthorhombic

a b c (Å): 8.059 4.055 10.538
angles (deg): 90.00 90.00 90.00
Atoms (fractional coordinates):
Zn 0.376 0.750 0.848
Te 0.603 0.250 0.807
Zn 0.624 0.250 0.152
Te 0.397 0.750 0.193
Zn 0.876 0.750 0.652
Bi 0.659 0.250 0.524
Bi 0.841 0.750 0.024
Te 0.103 0.250 0.693
Zn 0.124 0.250 0.348
Te 0.897 0.750 0.307
Bi 0.341 0.750 0.476
Bi 0.159 0.250 0.976

---

Q: Among the records above, which one has the lowest calculated density?
A: ZnBiTe

---

Q: Which value of calculated density does entry 4 give?
A: 7.75 Mg/m³

---

Q: What is the calculated density in the third record?
A: 11.14 Mg/m³

---

Q: Which value of calculated density does entry 2 give?
A: 12.92 Mg/m³